{"formula": "MgCoH16Cl4O8", "functional": "GGA+U", "state": "relaxed", "lattice_angstrom": [[5.907, 0.000, 0.000], [0.682, 6.136, 0.000], [0.090, 1.238, 8.246]], "species": ["Mg", "Co", "H", "H", "H", "H", "H", "H", "H", "H", "H", "H", "H", "H", "H", "H", "H", "H", "Cl", "Cl", "Cl", "Cl", "O", "O", "O", "O", "O", "O", "O", "O"], "fractional_positions": [[0.000, 0.000, 0.000], [0.500, 0.500, 0.500], [0.013, 0.405, 0.845], [0.092, 0.729, 0.485], [0.235, 0.049, 0.709], [0.245, 0.645, 0.167], [0.260, 0.795, 0.789], [0.269, 0.174, 0.195], [0.274, 0.898, 0.438], [0.359, 0.219, 0.015], [0.641, 0.781, 0.985], [0.726, 0.102, 0.562], [0.731, 0.826, 0.805], [0.740, 0.205, 0.211], [0.755, 0.355, 0.833], [0.765, 0.951, 0.291], [0.908, 0.271, 0.515], [0.987, 0.595, 0.155], [0.244, 0.233, 0.445], [0.375, 0.463, 0.784], [0.625, 0.537, 0.216], [0.756, 0.767, 0.555], [0.106, 0.679, 0.101], [0.183, 0.943, 0.798], [0.246, 0.742, 0.437], [0.282, 0.114, 0.091], [0.718, 0.886, 0.909], [0.754, 0.258, 0.563], [0.817, 0.057, 0.202], [0.894, 0.321, 0.899]], "e_tot_ev_per_atom": -4.701, "m_tot_mub_per_fu": 3.0}